First-principles (PBE) data for a geometry-optimized Na3Cu2Cl3 structure, as listed in the Open Quantum Materials Database.

Summary:
Electronic total energy   -2.436 eV per atom

Unit cell a=4.4310 b=4.4310 c=12.6374 alpha=90.00 beta=90.00 gamma=90.00
Space group P-4m2 (No. 115)
Asymmetric unit:
Na 0.0000 0.0000 0.0000 (multiplicity 1)
Na 0.0000 0.0000 0.2709 (multiplicity 2)
Cu 0.0000 0.5000 0.5790 (multiplicity 2)
Cl 0.0000 0.0000 0.5000 (multiplicity 1)
Cl 0.5000 0.5000 0.0000 (multiplicity 1)
Cl 0.5000 0.5000 0.5000 (multiplicity 1)